[1]
The following is a GGA-PBE calculation of an optimized crystal structure of ScTi2SnO, from the Alexandria database.

Computed properties:
Space-group type = No. 123
E_form (uncorrected) = -1.262 eV/atom
Total moment = 0.00 Bohr magnetons per cell
Offset from the most stable computed form = 0.0000 eV per atom

Lattice parameters (Å, degrees): 4.151 4.151 4.610 90.00 90.00 90.00
Positions (direct):
Sc  0.000  0.000  0.000
Ti  0.000  0.500  0.500
Ti  0.500  0.000  0.500
Sn  0.500  0.500  0.000
O  0.000  0.000  0.500

[2]
The following is a GGA-PBE calculation of an optimized crystal structure of Sc4TlSnO, from the Alexandria database.

Computed properties:
Space-group type = No. 63
E_form (uncorrected) = -1.177 eV/atom
Total moment = 0.04 Bohr magnetons per cell

Lattice parameters (Å, degrees): 8.250 8.250 6.143 90.00 90.00 136.28
Positions (direct):
Sc  0.000  0.500  0.000
Sc  0.000  0.500  0.500
Sc  0.089  0.911  0.750
Sc  0.411  0.589  0.750
Sc  0.500  0.000  0.000
Sc  0.500  0.000  0.500
Sc  0.589  0.411  0.250
Sc  0.911  0.089  0.250
Tl  0.106  0.894  0.250
Tl  0.894  0.106  0.750
Sn  0.393  0.607  0.250
Sn  0.607  0.393  0.750
O  0.249  0.751  0.750
O  0.751  0.249  0.250

[3]
The following is a GGA-PBE calculation of an optimized crystal structure of Tm2Sc4Sn3O2, from the Alexandria database.

Computed properties:
Space-group type = No. 139
E_form (uncorrected) = -1.535 eV/atom
Total moment = 0.00 Bohr magnetons per cell

Lattice parameters (Å, degrees): 12.441 12.441 12.441 159.69 159.69 28.87
Positions (direct):
Tm  0.192  0.192  0.000
Tm  0.808  0.808  0.000
Sc  0.083  0.583  0.500
Sc  0.417  0.917  0.500
Sc  0.583  0.083  0.500
Sc  0.917  0.417  0.500
Sn  0.324  0.324  0.000
Sn  0.500  0.500  0.000
Sn  0.676  0.676  0.000
O  0.095  0.095  0.000
O  0.905  0.905  0.000